! Y2HgCl, optimized geometry, DFT GGA-PBE; values from VASP
! Crystal system: tetragonal
! E: -17.2 eV per cell
! Energy relative to the lowest polymorph listed for this composition: 369 meV per atom
! Uncorrected formation energy: -534 meV/atom
! D(E_F): 1.147 states/eV/atom
! Spin magnetization: 0.160 μB/atom
&SYSTEM
  ibrav = 0, nat = 4, ntyp = 3
/
ATOMIC_SPECIES
Y 88.91 Y.upf
Hg 200.59 Hg.upf
Cl 35.45 Cl.upf
ATOMIC_POSITIONS crystal
Y 0.2500 0.7500 0.5000
Y 0.0000 0.0000 0.0000
Hg 0.7500 0.2500 0.5000
Cl 0.5000 0.5000 0.0000
CELL_PARAMETERS angstrom
-6.3631 1.3980 1.9134
-3.1949 -1.9357 5.6702
5.7313 2.7225 -2.4176